Here is a geometry-optimized RbWBr2F structure from the Alexandria database. Energies are from GGA+U.

Calculated values
Raw total energy ... -3.38 eV/atom
Volume ... 52.64 Å³/atom
Crystal system ... tetragonal

a b c (Å): 5.175 9.828 5.175
angles (deg): 90.00 90.00 90.00
Site moments in Bohr magnetons follow the coordinates.
Element x y z (fractional)
Br  0.000  0.000  0.500  -0.01
Br  0.500  0.000  0.000  0.04
W  0.000  0.000  0.000  3.35
F  0.500  0.500  0.500  0.00
Rb  0.000  0.500  0.000  0.00